Entry from Alexandria: crystalline Hf6NiOs2 at its relaxed geometry (PBE).

Lattice parameters (Å, degrees): 5.471 7.161 10.528 90.00 121.32 90.00
Space group P2_1/c (No. 14)
One atom of each set of equivalent atoms:
1 Hf 0.081 0.221 0.433 (multiplicity 4)
2 Hf 0.289 0.643 0.451 (multiplicity 4)
3 Hf 0.407 0.067 0.247 (multiplicity 4)
4 Ni 0.500 0.000 0.500 (multiplicity 2)
5 Os 0.110 0.100 0.714 (multiplicity 4)

Calculated values
Fermi-level density of states (states/eV/atom): 0.827
Calculated formation energy (eV per atom): -0.24